# 1
Below is crystalline GdYTcPd at its relaxed geometry, with properties calculated at the PBE-GGA level.

extended XYZ file:
```
4
Lattice="4.9133 0.0000 0.0000 2.4567 4.2551 0.0000 2.4567 1.4184 4.0117" Properties=species:S:1:pos:R:3 pbc="T T T"
Y 2.4567 1.4184 1.0029
Gd 7.3700 4.2551 3.0088
Tc 0.0000 0.0000 0.0000
Pd 4.9133 2.8367 2.0059
```

Computed properties:
* DFT formation energy: -0.324 eV per atom
* crystal system: cubic
* space group: F-43m (216)
* density of states at the Fermi level: 3.70 states/eV per cell


# 2
Below is crystalline KLaNi4 at its relaxed geometry, with properties calculated at the PBE-GGA level.

extended XYZ file:
```
6
Lattice="-0.8508 -3.9074 3.3092 0.8515 0.6664 5.0767 -4.0035 0.2161 3.2967" Properties=species:S:1:pos:R:3 pbc="T T T"
K -1.0007 -0.7562 2.9206
La 0.0000 0.0000 0.0000
Ni -2.0768 0.0730 5.6458
Ni -2.5049 -1.8930 7.3108
Ni -2.9333 -2.2283 4.7565
Ni -0.4906 -2.0017 5.6521
```

Computed properties:
* DFT formation energy: 0.085 eV per atom
* crystal system: cubic
* space group: F-43m (216)
* density of states at the Fermi level: 3.56 states/eV per cell


# 3
Below is crystalline LaBr3N at its relaxed geometry, with properties calculated at the PBE-GGA level.

extended XYZ file:
```
5
Lattice="-2.1767 -4.1853 1.0840 0.8623 -1.6096 -4.4828 4.2365 -1.8227 1.4694" Properties=species:S:1:pos:R:3 pbc="T T T"
N 0.0000 0.0000 0.0000
Br 0.4312 -0.8048 -2.2414
Br 2.1183 -0.9114 0.7347
Br -1.0883 -2.0926 0.5420
La 1.4611 -3.8088 -0.9647
```

Computed properties:
* energy relative to the lowest polymorph listed for this composition: 532 meV per atom
* crystal system: cubic
* space group: Pm-3m (221)
* density of states at the Fermi level: 2.51 states/eV per cell
* formation energy from raw total energies: -2 kJ per mole of atoms


# 4
Below is crystalline Y4MgSe7 at its relaxed geometry, with properties calculated at the PBE-GGA level.

extended XYZ file:
```
12
Lattice="-3.3746 2.0868 0.2422 0.8833 -1.5851 -6.6556 -5.6204 -9.6283 4.6491" Properties=species:S:1:pos:R:3 pbc="T T T"
Y -6.4738 -6.8329 1.2942
Y -1.6096 -2.2456 -3.0783
Y -8.0798 -9.0720 -1.7887
Y -2.6101 -4.2817 0.5257
Mg -5.5501 -4.9318 -2.2160
Se -4.0992 -2.6815 -1.3897
Se -4.0689 -6.5239 -0.4816
Se -5.8842 -9.5151 -0.0010
Se -2.2314 0.3800 -1.7430
Se -4.4183 -7.5102 3.1482
Se -3.6383 -1.5251 -4.9309
Se -3.6209 -5.3752 -4.1350
```

Computed properties:
* crystal system: monoclinic
* space group: Cm (8)
* formation energy from raw total energies: -170 kJ per mole of atoms


# 5
Below is crystalline Pr2NpMnN5 at its relaxed geometry, with properties calculated at the PBE-GGA level.

extended XYZ file:
```
18
Lattice="3.5129 0.0000 0.0000 -1.7565 6.8721 0.0000 0.0000 0.0000 10.5293" Properties=species:S:1:pos:R:3 pbc="T T T"
Pr 1.7565 5.0133 8.7023
Pr 0.0000 1.4683 7.1778
Pr 0.0000 1.8588 3.4377
Pr 1.7565 5.4038 1.9131
Np 1.7565 4.1619 5.5055
Np 0.0000 2.7101 0.2408
Mn 1.7565 0.4699 9.9332
Mn 0.0000 6.4022 4.6685
N 0.0000 4.8186 0.0619
N 1.7565 2.4095 9.4168
N 0.0000 6.7696 8.2434
N 0.0000 3.9848 6.8946
N 1.7565 6.4161 5.3870
N 1.7565 2.0535 5.3266
N 0.0000 4.4626 4.1521
N 1.7565 0.1024 2.9788
N 1.7565 2.8872 1.6299
N 0.0000 0.4559 0.1224
```

Computed properties:
* crystal system: orthorhombic
* space group: Cmc2_1 (36)
* density of states at the Fermi level: 11.19 states/eV per cell
* formation energy from raw total energies: -94 kJ per mole of atoms


# 6
Below is crystalline PmGa2Pd5Au at its relaxed geometry, with properties calculated at the PBE-GGA level.

extended XYZ file:
```
9
Lattice="-3.2211 2.2185 1.3250 -2.1793 -1.1946 -3.2979 -3.1837 -7.5021 4.8214" Properties=species:S:1:pos:R:3 pbc="T T T"
Pm -1.5919 -3.7510 2.4107
Ga -3.1048 -0.4414 -0.3738
Ga -5.4793 -6.0368 3.2222
Pd -1.9572 -2.6415 -0.3352
Pd -2.4781 -0.9350 1.9762
Pd -3.4058 -6.0551 1.8586
Pd -3.9267 -4.3486 4.1701
Pd -4.2921 -3.2391 1.4242
Au 0.0000 0.0000 0.0000
```

Computed properties:
* DFT formation energy: -0.513 eV per atom
* crystal system: tetragonal
* space group: P4/mmm (123)
* density of states at the Fermi level: 1.61 states/eV per cell


# 7
Below is crystalline Pm3Tl2Hg6 at its relaxed geometry, with properties calculated at the PBE-GGA level.

extended XYZ file:
```
11
Lattice="-0.2428 -0.1547 -4.2945 -4.2922 -0.1991 0.2499 1.4519 17.0556 1.4604" Properties=species:S:1:pos:R:3 pbc="T T T"
Pm 0.0000 0.0000 0.0000
Pm -2.7953 10.7447 -2.3859
Pm -0.2879 5.9572 -0.1983
Tl -0.5893 12.1945 -0.4060
Tl -2.4939 4.5073 -2.1782
Hg -2.2599 2.2543 0.0466
Hg -0.2352 2.2765 -2.2256
Hg -0.8233 14.4475 -2.6308
Hg -2.8480 14.4253 -0.3586
Hg -2.6428 7.5893 -2.2809
Hg -0.4404 9.1125 -0.3034
```

Computed properties:
* DFT formation energy: -0.186 eV per atom
* crystal system: tetragonal
* space group: I4/mmm (139)
* density of states at the Fermi level: 6.17 states/eV per cell


# 8
Below is crystalline CuGePd at its relaxed geometry, with properties calculated at the PBE-GGA level.

extended XYZ file:
```
6
Lattice="4.4953 1.1084 0.9054 -1.5353 2.5616 -0.7939 1.6086 1.2514 6.9380" Properties=species:S:1:pos:R:3 pbc="T T T"
Cu 1.9508 3.1674 6.4391
Cu 2.6177 1.7540 0.6104
Ge 0.1385 3.3660 4.5497
Ge 4.4300 1.5554 2.4998
Pd 3.9189 2.0180 4.9265
Pd 0.6496 2.9034 2.1230
```

Computed properties:
* DFT formation energy: -0.237 eV per atom
* crystal system: triclinic
* space group: P-1 (2)
* density of states at the Fermi level: 1.56 states/eV per cell